1.
# NbAlCl8

Crystalline NbAlCl8 at its relaxed geometry (PBE, the Open Quantum Materials Database).

abc: 8.0700 17.2519 8.1749
angles: 90.00 90.00 90.00
Closest atoms and distances in Å follow each position.
Space group Cmcm (No. 63)
Inequivalent atoms, fractional coordinates:
1 Nb 0.0000 0.1100 0.2500 (multiplicity 4)  4 Cl 2.25-2.32
2 Al 0.0000 0.3162 0.2500 (multiplicity 4)  4 Cl 2.10-2.22
3 Cl 0.0000 0.1325 0.5295 (multiplicity 8)  1 Nb 2.32
4 Cl 0.0000 0.3818 0.0330 (multiplicity 8)  1 Al 2.10
5 Cl 0.2067 0.2312 0.2500 (multiplicity 8)  1 Al 2.22
6 Cl 0.2174 0.0281 0.2500 (multiplicity 8)  1 Nb 2.25

Calculated values
**Total DFT energy (no corrections)**: -167.76 eV per cell

=====

2.
# ScInPd

Crystalline ScInPd at its relaxed geometry (PBE, the Open Quantum Materials Database).

abc: 6.4961 6.4961 6.4961
angles: 90.00 90.00 90.00
Closest atoms and distances in Å follow each position.
Space group F-43m (No. 216)
Inequivalent atoms, fractional coordinates:
1 Sc 0.0000 0.0000 0.0000 (multiplicity 4)  4 Pd 2.81, 4 In 2.81
2 In 0.2500 0.2500 0.7500 (multiplicity 4)  4 Sc 2.81
3 Pd 0.2500 0.2500 0.2500 (multiplicity 4)  4 Sc 2.81

Calculated values
**Total DFT energy (no corrections)**: -58.60 eV per cell

=====

3.
# Hf2TlMo

Crystalline Hf2TlMo at its relaxed geometry (PBE, the Open Quantum Materials Database).

abc: 6.8164 6.8164 6.8164
angles: 90.00 90.00 90.00
Closest atoms and distances in Å follow each position.
Space group F-43m (No. 216)
Inequivalent atoms, fractional coordinates:
1 Hf 0.0000 0.0000 0.0000 (multiplicity 4)  4 Mo 2.95, 4 Hf 2.95
2 Hf 0.2500 0.2500 0.2500 (multiplicity 4)  4 Hf 2.95, 4 Tl 2.95
3 Tl 0.0000 0.0000 0.5000 (multiplicity 4)  4 Hf 2.95, 4 Mo 2.95
4 Mo 0.2500 0.2500 0.7500 (multiplicity 4)  4 Hf 2.95, 4 Tl 2.95

Calculated values
**E above lowest polymorph**: 420 meV per atom
**Total DFT energy (no corrections)**: -127.10 eV per cell